DFT (PBE) results for a relaxed Ho2AlCo3Ni12 crystal.

Geometry as POSCAR:
```
Ho2AlCo3Ni12
1.0
6.0130 -1.2624 -0.8954
1.8718 5.8520 -0.8954
1.8718 1.0895 5.8190
Ho Al Co Ni
2 1 3 12
direct
0.7240 0.7240 0.7240
0.2760 0.2760 0.2760
0.0000 0.0000 0.0000
0.5000 0.0000 0.0000
0.0000 0.5000 0.0000
0.0000 0.0000 0.5000
0.4190 0.4190 0.8547
0.8010 0.8010 0.2745
0.2745 0.8010 0.8010
0.8547 0.4190 0.4190
0.8010 0.2745 0.8010
0.4190 0.8547 0.4190
0.5810 0.5810 0.1453
0.1990 0.1990 0.7255
0.7255 0.1990 0.1990
0.1453 0.5810 0.5810
0.1990 0.7255 0.1990
0.5810 0.1453 0.5810
```

DFT (PBE) results for a relaxed HoAl3CoNi crystal.

Geometry as POSCAR:
```
HoAl3CoNi
1.0
5.3438 0.0000 0.0000
0.0000 7.7218 0.0000
0.0000 -3.8609 5.1304
Ho Al Co Ni
2 6 2 2
direct
0.7500 0.3011 0.6021
0.2500 0.6989 0.3979
0.2500 0.1823 0.3646
0.0000 0.2556 0.0000
0.5000 0.7444 0.0000
0.5000 0.2556 0.0000
0.0000 0.7444 0.0000
0.7500 0.8177 0.6354
0.2500 0.4182 0.8364
0.7500 0.5818 0.1636
0.2500 0.9549 0.9098
0.7500 0.0451 0.0902
```

DFT (PBE) results for a relaxed Ho2Al4CoPt3 crystal.

Geometry as POSCAR:
```
Ho2Al4CoPt3
1.0
4.1123 0.0000 0.0000
0.0000 4.1123 0.0000
0.0000 0.0000 10.5846
Ho Al Co Pt
2 4 1 3
direct
0.5000 0.0000 0.2598
0.0000 0.5000 0.7402
0.5000 0.5000 0.0000
0.0000 0.0000 0.0000
0.5000 0.0000 0.6237
0.0000 0.5000 0.3763
0.5000 0.5000 0.5000
0.0000 0.0000 0.5000
0.5000 0.0000 0.8593
0.0000 0.5000 0.1407
```

| no. | ΔE_f (eV/atom) |
| --- | --- |
| 1 | -0.015 |
| 2 | -0.287 |
| 3 | -0.970 |